The following is a GGA+U calculation of a relaxed structure of CrCoAsO2, from Alexandria.

Magnetization in μB/f.u.: 0.9
Volume in Å³/cell: 67.8
Uncorrected energy in eV per cell: -26.9
Crystal system: tetragonal

Lattice parameters (Å, degrees): 3.5485 3.5485 5.3852 90.00 90.00 90.00
Space group P4/mmm (No. 123)
Asymmetric unit:
Cr  0.0000  0.0000  0.0000 [1 per cell]
Co  0.0000  0.0000  0.5000 [1 per cell]
As  0.5000  0.5000  0.5000 [1 per cell]
O  0.0000  0.5000  0.0000 [2 per cell]